A plane-wave DFT calculation with PBE was carried out for an optimized crystal structure of MnTcBr2.

Results
Crystal system: monoclinic
Formation energy from raw total energies: 0.663 eV/atom
E: -20.23 eV for the cell shown

Geometry as POSCAR:
```
MnTcBr2
1.0
3.3726 0.0000 0.0000
0.0000 4.2914 0.0000
-0.4147 0.0000 5.6198
Mn Tc Br
1 1 2
Cartesian
0.0000 0.0000 0.0000
1.4790 0.0000 2.8099
0.8675 2.1457 1.4422
2.0905 2.1457 4.1776
```